Entry 1:
The following is a PBE calculation of a geometry-optimized Pm3Tl2In3Co structure, from Alexandria. Values from VASP.

```
&SYSTEM
  ibrav = 0, nat = 9, ntyp = 4
/
ATOMIC_SPECIES
Pm 145.00 Pm.upf
Tl 204.38 Tl.upf
In 114.82 In.upf
Co 58.93 Co.upf
ATOMIC_POSITIONS angstrom
Pm 0.000 -1.460 2.529
Pm 0.000 2.356 4.081
Pm 0.000 2.921 0.000
Tl 2.259 0.000 4.407
Tl 2.259 3.817 2.203
In 2.259 5.884 0.000
In 2.259 0.875 1.515
In 2.259 -2.942 5.095
Co 0.000 0.000 0.000
CELL_PARAMETERS angstrom
4.519 0.000 0.000
0.000 7.633 0.000
0.000 -3.817 6.610
```

## Properties
M_tot = 0.00 μB per cell
crystal system = hexagonal
space group = P-62m
E_tot = -37.628 eV per cell
formation enthalpy at 0 K = -0.369 eV/atom


Entry 2:
The following is a PBE calculation of a geometry-optimized PmYInCo structure, from Alexandria. Values from VASP.

```
&SYSTEM
  ibrav = 0, nat = 4, ntyp = 4
/
ATOMIC_SPECIES
Y 88.91 Y.upf
In 114.82 In.upf
Co 58.93 Co.upf
Pm 145.00 Pm.upf
ATOMIC_POSITIONS angstrom
Y 0.000 0.000 0.000
In 2.583 1.491 1.054
Co 7.749 4.474 3.163
Pm 5.166 2.982 2.109
CELL_PARAMETERS angstrom
5.166 0.000 0.000
2.583 4.474 0.000
2.583 1.491 4.218
```

## Properties
M_tot = 1.24 μB per cell
crystal system = cubic
space group = F-43m
E_tot = -21.734 eV per cell
formation enthalpy at 0 K = -0.169 eV/atom


Entry 3:
The following is a PBE calculation of a geometry-optimized PmZnInCo structure, from Alexandria. Values from VASP.

```
&SYSTEM
  ibrav = 0, nat = 4, ntyp = 4
/
ATOMIC_SPECIES
Zn 65.41 Zn.upf
In 114.82 In.upf
Co 58.93 Co.upf
Pm 145.00 Pm.upf
ATOMIC_POSITIONS angstrom
Zn 0.000 0.000 0.000
In -0.920 -0.307 -2.771
Co -1.840 -0.613 -5.542
Pm -2.760 -0.920 -8.313
CELL_PARAMETERS angstrom
-1.831 2.290 -3.793
1.290 -1.291 -4.433
-3.140 -2.226 -2.858
```

## Properties
M_tot = 1.20 μB per cell
crystal system = cubic
space group = F-43m
E_tot = -16.372 eV per cell
formation enthalpy at 0 K = -0.126 eV/atom